# SCAN TiTlB3, single point on PBEsol structure
data_TiTlB3
_cell_length_a 4.2547
_cell_length_b 4.2547
_cell_length_c 4.2547
_cell_angle_alpha 90.00
_cell_angle_beta 90.00
_cell_angle_gamma 90.00
_space_group_name_H-M_alt 'P m -3 m'
_space_group_IT_number 221
_space_group_name_Hall '-P 4 2 3'
loop_
_atom_site_label
_atom_site_fract_x
_atom_site_fract_y
_atom_site_fract_z
Ti1 0.0000 0.0000 0.0000
Tl1 0.5000 0.5000 0.5000
B1 0.0000 0.0000 0.5000
# energy relative to the elements: 1.56 eV/atom
# ρ: 6.1 g/cm3
# V: 77.0 Å³ per cell